Version w
This record from Alexandria describes a relaxed structure of NdGdPt2. The functional is PBE.

a b c (Å): 4.150 4.150 20.360
angles (deg): 90.00 90.00 120.00
Element x y z (fractional)
Nd  0.000  0.000  0.000
Nd  0.333  0.667  0.667
Nd  0.667  0.333  0.333
Gd  0.000  0.000  0.500
Gd  0.333  0.667  0.167
Gd  0.667  0.333  0.833
Pt  0.000  0.000  0.247
Pt  0.000  0.000  0.753
Pt  0.333  0.667  0.419
Pt  0.333  0.667  0.914
Pt  0.667  0.333  0.086
Pt  0.667  0.333  0.581


Version x
This record from Alexandria describes a relaxed structure of NdGdPt2. The functional is PBE.

a b c (Å): 7.141 7.141 7.141
angles (deg): 90.00 90.00 90.00
Element x y z (fractional)
Nd  0.000  0.000  0.000
Nd  0.000  0.500  0.500
Nd  0.500  0.000  0.500
Nd  0.500  0.500  0.000
Gd  0.000  0.000  0.500
Gd  0.000  0.500  0.000
Gd  0.500  0.000  0.000
Gd  0.500  0.500  0.500
Pt  0.250  0.250  0.250
Pt  0.250  0.250  0.750
Pt  0.250  0.750  0.250
Pt  0.250  0.750  0.750
Pt  0.750  0.250  0.250
Pt  0.750  0.250  0.750
Pt  0.750  0.750  0.250
Pt  0.750  0.750  0.750


The winner here is version x, beating the second structure by 1.3 kJ/mol of atoms.